No. 1
Compound: GeMoAsBr2
Source: Alexandria
Functional: PBE-GGA
Structure: optimized geometry

Output
The energy above the most stable polymorph in this dataset is 0 meV/atom. As for the symmetry: P4/mmm (123).

```
data_GeMoAsBr2
_cell_length_a 5.2079
_cell_length_b 5.2079
_cell_length_c 4.9715
_cell_angle_alpha 90.00
_cell_angle_beta 90.00
_cell_angle_gamma 90.00
_symmetry_space_group_name_H-M 'P 1'
_symmetry_Int_Tables_number 1
loop_
_symmetry_equiv_pos_as_xyz
'x,y,z'
loop_
_atom_site_label
_atom_site_type_symbol
_atom_site_fract_x
_atom_site_fract_y
_atom_site_fract_z
As1 As 0.0000 0.0000 0.5000
Br1 Br 0.0000 0.5000 0.0000
Br2 Br 0.5000 0.0000 0.0000
Mo1 Mo 0.0000 0.0000 0.0000
Ge1 Ge 0.5000 0.5000 0.5000
```

No. 2
Compound: Tb2Ga3Ir
Source: Alexandria
Functional: PBE-GGA
Structure: optimized geometry

Output
The calculation puts the energy relative to the elements at -745 meV/atom. As for the symmetry: Cm (8).

```
data_Tb2Ga3Ir
_cell_length_a 4.3226
_cell_length_b 5.6506
_cell_length_c 5.7989
_cell_angle_alpha 76.82
_cell_angle_beta 68.12
_cell_angle_gamma 67.51
_symmetry_space_group_name_H-M 'P 1'
_symmetry_Int_Tables_number 1
loop_
_symmetry_equiv_pos_as_xyz
'x,y,z'
loop_
_atom_site_label
_atom_site_type_symbol
_atom_site_fract_x
_atom_site_fract_y
_atom_site_fract_z
Ga1 Ga 0.8314 0.2317 0.1056
Tb1 Tb 0.4509 0.7992 0.2989
Ga2 Ga 0.8430 0.6186 0.6955
Ir1 Ir 0.1591 0.3784 0.3034
Tb2 Tb 0.5491 0.2126 0.6893
Ga3 Ga 0.1666 0.7595 0.9073
```

No. 3
Compound: AcTePtSe
Source: Alexandria
Functional: PBE-GGA
Structure: optimized geometry

Output
As for the symmetry: R-3m (166).

```
data_AcTePtSe
_cell_length_a 4.7163
_cell_length_b 4.7163
_cell_length_c 12.4424
_cell_angle_alpha 79.07
_cell_angle_beta 79.07
_cell_angle_gamma 60.00
_symmetry_space_group_name_H-M 'P 1'
_symmetry_Int_Tables_number 1
loop_
_symmetry_equiv_pos_as_xyz
'x,y,z'
loop_
_atom_site_label
_atom_site_type_symbol
_atom_site_fract_x
_atom_site_fract_y
_atom_site_fract_z
Pt1 Pt 0.3728 0.3728 0.8817
Ac1 Ac 0.1029 0.1029 0.6914
Se1 Se 0.8037 0.8037 0.5890
Se2 Se 0.1963 0.1963 0.4110
Ac2 Ac 0.8971 0.8971 0.3086
Pt2 Pt 0.6272 0.6272 0.1183
Te1 Te 0.2965 0.2965 0.1104
Te2 Te 0.7035 0.7035 0.8896
```

E in eV per atom, matching the order above: -4.18; -5.28; -5.30
DOS at the Fermi energy in states/eV/cell, matching the order above: 3.274; 3.444; 2.516